DFT (PBE-GGA) results for an optimized crystal structure of TbAgPtPb.

E_tot in eV/atom: -4.831
Symmetry: F-43m (216)
Calculated density in Mg/m³: 12.73
Magnetization in μB per formula unit: 0.00

Lattice parameters (Å, degrees): 4.979 4.979 4.979 60.00 60.00 60.00
Fractional positions:
Pb: 0.500 0.500 0.500
Tb: 0.000 0.000 0.000
Ag: 0.250 0.250 0.250
Pt: 0.750 0.750 0.750